# 1
ZrCuTe2I, optimized geometry, DFT PBE; formation energy without anion corrections = 16.59 kJ/mol of atoms; VASP energy = -19.618 eV per cell; SG = No. 123; DOS(E_F) = 2.6 states/eV/cell
1.0
-0.961 0.889 5.447
-3.476 -4.392 0.103
4.414 -3.462 1.344
I Te Cu Zr
1 2 1 1
Direct
0.000 0.000 0.500
0.000 0.500 0.000
0.500 0.000 0.000
0.500 0.500 0.500
0.000 0.000 0.000

# 2
Li3Ce3GaS8, optimized geometry, DFT PBE; formation energy without anion corrections = -142.65 kJ/mol of atoms; VASP energy = -81.767 eV per cell; SG = No. 166; DOS(E_F) = 14.8 states/eV/cell
1.0
-7.096 0.765 -3.485
2.976 -7.229 1.404
-2.307 4.521 5.690
Li Ce Ga S
3 3 1 8
Direct
0.000 0.000 0.000
0.000 0.500 0.000
0.500 0.500 0.000
0.500 0.000 0.500
0.500 0.500 0.500
0.000 0.500 0.500
0.000 0.000 0.500
0.247 0.495 0.242
0.753 0.505 0.758
0.768 0.536 0.262
0.232 0.464 0.738
0.768 0.994 0.262
0.232 0.006 0.738
0.226 0.994 0.262
0.774 0.006 0.738

# 3
Nd2MgCu4Ge3, optimized geometry, DFT PBE; energy of formation = -0.478 eV/atom; VASP energy = -46.149 eV per cell; SG = No. 115; DOS(E_F) = 4.2 states/eV/cell
1.0
4.183 0.000 0.000
0.000 4.183 0.000
0.000 0.000 10.437
Nd Mg Cu Ge
2 1 4 3
Direct
0.500 0.000 0.233
0.000 0.500 0.767
0.500 0.500 0.500
0.500 0.500 0.000
0.000 0.000 0.000
0.500 0.000 0.641
0.000 0.500 0.359
0.000 0.000 0.500
0.500 0.000 0.870
0.000 0.500 0.130

# 4
RbLiGa2Ru, optimized geometry, DFT PBE; energy of formation = 1.064 eV/atom; VASP energy = -12.889 eV per cell; SG = No. 123; DOS(E_F) = 5.3 states/eV/cell
1.0
4.822 0.000 0.000
0.000 5.065 0.000
0.000 0.000 4.822
Ru Ga Rb Li
1 2 1 1
Direct
0.500 0.500 0.500
0.000 0.000 0.500
0.500 0.000 0.000
0.000 0.500 0.000
0.000 0.000 0.000